This record from Alexandria describes a geometry-optimized KCdAu structure. The functional is PBE-GGA.

Computed properties:
ΔE_f ... -0.26 eV/atom
SG ... C2/m
Total DFT energy (no corrections) ... -2.0274 eV/atom

Cell lengths 4.8767, 6.4588, 11.8933 Å; angles 92.26, 90.00, 112.18 degrees
Closest atoms and distances in Å follow each position.
Sites, in units of the cell vectors:
Cd (0.1356, 0.2712, 0.9559)  3 Au 2.91-2.95
Au (0.3941, 0.7882, 0.5476)  1 Au 2.82, 3 Cd 2.89-2.94
Au (0.6059, 0.2118, 0.4524)  1 Au 2.82, 3 Cd 2.89-2.94
Au (0.2929, 0.5859, 0.1533)  4 Cd 2.89-2.95
K (0.4126, 0.8251, 0.8371)  4 Au 3.44-3.52, 7 Cd 3.53-3.84
Cd (0.2081, 0.4162, 0.3772)  4 Au 2.89-2.94
K (0.0917, 0.1834, 0.6526)  6 Au 3.42-3.59, 5 Cd 3.45-3.62
Au (0.7071, 0.4141, 0.8467)  4 Cd 2.89-2.95
K (0.9083, 0.8166, 0.3474)  6 Au 3.42-3.59, 5 Cd 3.45-3.62
Cd (0.7919, 0.5838, 0.6228)  4 Au 2.89-2.94
K (0.5874, 0.1749, 0.1629)  4 Au 3.44-3.52, 7 Cd 3.53-3.84
Cd (0.8644, 0.7288, 0.0441)  3 Au 2.91-2.95